# 1
Below is an optimized crystal structure of POsPdO2, with properties calculated at the PBE level.

Properties
Energy relative to the elements, uncorrected = 0.916 eV per atom
Calculated volume = 16.48 A^3/atom
Space-group type = P4/mmm (123)

```
POsPdO2
1.0
3.663 0.000 0.000
0.000 3.663 0.000
0.000 0.000 6.144
P Os Pd O
1 1 1 2
Direct
0.000 0.000 0.000 P
0.500 0.500 0.000 Os
0.000 0.000 0.500 Pd
0.000 0.500 0.500 O
0.500 0.000 0.500 O
```

=====

# 2
Below is an optimized crystal structure of Pr2P2OsO, with properties calculated at the PBE level.

Properties
Energy relative to the elements, uncorrected = 0.190 eV per atom
Calculated volume = 24.05 A^3/atom
Space-group type = P4/mmm (123)

```
Pr2P2OsO
1.0
3.134 0.000 0.000
0.000 3.134 0.000
0.000 0.000 14.694
Pr P Os O
2 2 1 1
Direct
0.000 0.000 0.145 Pr
0.000 0.000 0.855 Pr
0.000 0.000 0.348 P
0.000 0.000 0.652 P
0.000 0.000 0.500 Os
0.000 0.000 0.000 O
```

=====

# 3
Below is an optimized crystal structure of POsPtO2, with properties calculated at the PBE level.

Properties
Energy relative to the elements, uncorrected = -0.286 eV per atom
Calculated volume = 15.03 A^3/atom
Space-group type = P4/mmm (123)

```
POsPtO2
1.0
3.649 0.000 0.000
0.000 3.649 0.000
0.000 0.000 5.645
P Os Pt O
1 1 1 2
Direct
0.000 0.000 0.000 P
0.000 0.000 0.500 Os
0.500 0.500 0.000 Pt
0.000 0.500 0.500 O
0.500 0.000 0.500 O
```

=====

# 4
Below is an optimized crystal structure of POsPtO2, with properties calculated at the PBE level.

Properties
Energy relative to the elements, uncorrected = 0.752 eV per atom
Calculated volume = 20.00 A^3/atom
Space-group type = P4/mmm (123)

```
POsPtO2
1.0
3.634 0.000 0.000
0.000 3.634 0.000
0.000 0.000 7.572
P Os Pt O
1 1 1 2
Direct
0.000 0.000 0.000 P
0.500 0.500 0.000 Os
0.000 0.000 0.500 Pt
0.000 0.500 0.500 O
0.500 0.000 0.500 O
```

=====

# 5
Below is an optimized crystal structure of Rb2POsO6, with properties calculated at the PBE level.

Properties
Energy relative to the elements, uncorrected = -1.251 eV per atom
Calculated volume = 14.95 A^3/atom
Space-group type = I4/m (87)

```
Rb2POsO6
1.0
-2.554 2.554 5.726
2.554 -2.554 5.726
2.554 2.554 -5.726
Rb P Os O
2 1 1 6
Direct
0.250 0.750 0.500 Rb
0.750 0.250 0.500 Rb
0.000 0.000 0.000 P
0.500 0.500 0.000 Os
0.152 0.286 0.438 O
0.286 0.848 0.134 O
0.339 0.339 0.000 O
0.661 0.661 0.000 O
0.714 0.152 0.866 O
0.848 0.714 0.562 O
```

=====

# 6
Below is an optimized crystal structure of RbP2OsO8, with properties calculated at the PBE level.

Properties
Energy relative to the elements, uncorrected = -1.814 eV per atom
Calculated volume = 15.39 A^3/atom
Space-group type = R-3 (148)

```
RbP2OsO8
1.0
2.446 1.412 8.913
-2.446 1.412 8.913
0.000 -2.824 8.913
Rb P Os O
1 2 1 8
Direct
0.000 0.000 0.000 Rb
0.231 0.231 0.231 P
0.769 0.769 0.769 P
0.500 0.500 0.500 Os
0.107 0.513 0.750 O
0.250 0.893 0.487 O
0.287 0.287 0.287 O
0.487 0.250 0.893 O
0.513 0.750 0.107 O
0.713 0.713 0.713 O
0.750 0.107 0.513 O
0.893 0.487 0.250 O
```